Arrangement i

Entry from Alexandria: Mg2ZnSe4 after structural relaxation (PBE).

Unit cell a=6.0637 b=6.0637 c=6.0637 alpha=112.37 beta=112.37 gamma=103.81
Atoms (fractional coordinates):
Mg: 0.2500 0.7500 0.5000
Mg: 0.7500 0.2500 0.5000
Zn: 0.0000 0.0000 0.0000
Se: 0.2018 0.6888 0.8906
Se: 0.3112 0.2018 0.5130
Se: 0.6888 0.7982 0.4870
Se: 0.7982 0.3112 0.1094

Properties
total magnetization = 0.000 μB per atom
ρ = 4.2 g cm⁻³

***

Arrangement ii

Entry from Alexandria: Mg2ZnSe4 after structural relaxation (PBE).

Unit cell a=7.9361 b=7.9361 c=7.8050 alpha=117.58 beta=117.58 gamma=92.69
Atoms (fractional coordinates):
Mg: 0.0000 0.0000 0.0000
Mg: 0.0944 0.4804 0.6280
Mg: 0.5196 0.9056 0.3720
Mg: 0.6732 0.3268 0.0000
Zn: 0.0493 0.9507 0.5000
Zn: 0.4502 0.5498 0.5000
Se: 0.0848 0.3843 0.2496
Se: 0.1289 0.7258 0.0740
Se: 0.2742 0.8711 0.9260
Se: 0.2769 0.2715 0.7822
Se: 0.5737 0.2916 0.5837
Se: 0.6157 0.9152 0.7504
Se: 0.7084 0.4263 0.4163
Se: 0.7285 0.7231 0.2178

Properties
total magnetization = 0.000 μB per atom
ρ = 3.9 g cm⁻³

***

Arrangement iii

Entry from Alexandria: Mg2ZnSe4 after structural relaxation (PBE).

Unit cell a=10.2839 b=10.2839 c=10.2839 alpha=24.80 beta=24.80 gamma=24.80
Atoms (fractional coordinates):
Mg: 0.2485 0.2485 0.2485
Mg: 0.7515 0.7515 0.7515
Zn: 0.0000 0.0000 0.0000
Se: 0.1595 0.1595 0.1595
Se: 0.3881 0.3881 0.3881
Se: 0.6119 0.6119 0.6119
Se: 0.8405 0.8405 0.8405

Properties
total magnetization = 0.000 μB per atom
ρ = 4.2 g cm⁻³

***

arrangement ii has the most favorable energy; the next structure is 74 meV per atom above.